# LaPrSmHo

LaPrSmHo after structural relaxation (GGA-PBE, Alexandria via LeMat-Bulk).

Unit cell a=5.814 b=5.814 c=5.814 alpha=60.00 beta=60.00 gamma=60.00
Positions (direct):
La 0.000 0.000 0.000
Pr 0.500 0.500 0.500
Sm 0.750 0.750 0.750
Ho 0.250 0.250 0.250

Properties
The value obtained for the uncorrected energy is -4.642 eV/atom.